[1]
VASP calculation (PBE-GGA) on a relaxed NbSbMo3 crystal.

```
NbSbMo3
1.0
4.8145 0.0000 0.0000
0.0000 4.8145 0.0000
0.0000 0.0000 4.8145
Nb Sb Mo
1 1 3
Direct
0.0000 0.0000 0.0000
0.5000 0.5000 0.5000
0.0000 0.5000 0.5000
0.5000 0.0000 0.5000
0.5000 0.5000 0.0000
```

SG: Pm-3m, No. 221
Offset from the most stable computed form in meV per atom: 274


[2]
VASP calculation (PBE-GGA) on a relaxed NbSb3Mo crystal.

```
NbSb3Mo
1.0
5.2133 0.0000 0.0000
0.0000 5.2133 0.0000
0.0000 0.0000 5.2133
Nb Sb Mo
1 3 1
Direct
0.0000 0.0000 0.0000
0.0000 0.5000 0.5000
0.5000 0.0000 0.5000
0.5000 0.5000 0.0000
0.5000 0.5000 0.5000
```

SG: Pm-3m, No. 221
Offset from the most stable computed form in meV per atom: 0


[3]
VASP calculation (PBE-GGA) on a relaxed Nb2SbMo crystal.

```
Nb2SbMo
1.0
4.0099 0.0000 0.0000
0.0000 4.0099 0.0000
0.0000 0.0000 19.7563
Nb Sb Mo
8 4 4
Direct
0.2442 0.2500 0.1250
0.2500 0.7442 0.3750
0.2500 0.7558 0.8750
0.2558 0.2500 0.6250
0.7442 0.7500 0.6250
0.7500 0.2442 0.8750
0.7500 0.2558 0.3750
0.7558 0.7500 0.1250
0.0000 0.0000 0.0000
0.0000 0.5000 0.2500
0.5000 0.0000 0.7500
0.5000 0.5000 0.5000
0.0000 0.0000 0.5000
0.0000 0.5000 0.7500
0.5000 0.0000 0.2500
0.5000 0.5000 0.0000
```

SG: I-42d, No. 122


[4]
VASP calculation (PBE-GGA) on a relaxed NbSb2Mo crystal.

```
NbSb2Mo
1.0
3.1889 0.0000 0.0000
-1.5944 2.7616 0.0000
0.0000 0.0000 29.3934
Nb Sb Mo
3 6 3
Direct
0.0000 0.0000 0.0000
0.3333 0.6667 0.6667
0.6667 0.3333 0.3333
0.0000 0.0000 0.0964
0.0000 0.0000 0.9036
0.3333 0.6667 0.5703
0.3333 0.6667 0.7630
0.6667 0.3333 0.2370
0.6667 0.3333 0.4297
0.0000 0.0000 0.5000
0.3333 0.6667 0.1667
0.6667 0.3333 0.8333
```

SG: R-3m, No. 166
Offset from the most stable computed form in meV per atom: 273


Number 1: E_form (uncorrected) 1.96 eV/atom. Number 2: E_form (uncorrected) 1.05 eV/atom. Number 3: E_form (uncorrected) 0.57 eV/atom. Number 4: E_form (uncorrected) 0.40 eV/atom.